Record 1
Computed, not measured: a geometry-optimized RbTaInPd2 structure at the PBE level of DFT.

Output
D(E_F)   5.26 states/eV per cell
Crystal system   tetragonal
E_tot   -3.14 eV per atom

a b c (Å): 4.9882 4.9882 5.6860
angles (deg): 90.00 90.00 90.00
Space group P4/mmm (No. 123)
One atom of each set of equivalent atoms:
Rb (0.0000, 0.0000, 0.0000) x1
Ta (0.5000, 0.5000, 0.5000) x1
In (0.0000, 0.0000, 0.5000) x1
Pd (0.0000, 0.5000, 0.0000) x2

Record 2
Computed, not measured: a geometry-optimized Rb2Tl6InPd structure at the PBE level of DFT.

Output
D(E_F)   4.78 states/eV per cell
Crystal system   triclinic
E_tot   -2.47 eV per atom

a b c (Å): 7.6071 7.6195 8.1471
angles (deg): 62.42 62.19 60.20
Space group P-1 (No. 2)
One atom of each set of equivalent atoms:
Rb (0.1825, 0.1820, 0.4558) x2
Tl (0.1393, 0.6558, 0.8602) x2
Tl (0.3440, 0.1402, 0.8618) x2
Tl (0.3444, 0.6583, 0.1372) x2
In (0.5000, 0.5000, 0.5000) x1
Pd (0.0000, 0.0000, 0.0000) x1

Record 3
Computed, not measured: a geometry-optimized RbTlIn2Pd structure at the PBE level of DFT.

Output
D(E_F)   3.25 states/eV per cell
Crystal system   tetragonal
E_tot   -2.93 eV per atom

a b c (Å): 5.3459 5.3459 5.5459
angles (deg): 90.00 90.00 90.00
Space group P4/mmm (No. 123)
One atom of each set of equivalent atoms:
Rb (0.0000, 0.0000, 0.0000) x1
Tl (0.5000, 0.5000, 0.0000) x1
In (0.0000, 0.5000, 0.5000) x2
Pd (0.5000, 0.5000, 0.5000) x1

Record 4
Computed, not measured: a geometry-optimized RbZnIn2Pd structure at the PBE level of DFT.

Output
D(E_F)   2.34 states/eV per cell
Crystal system   tetragonal
E_tot   -2.72 eV per atom

a b c (Å): 5.2790 5.2790 5.1340
angles (deg): 90.00 90.00 90.00
Space group P4/mmm (No. 123)
One atom of each set of equivalent atoms:
Rb (0.0000, 0.0000, 0.0000) x1
Zn (0.5000, 0.5000, 0.0000) x1
In (0.0000, 0.5000, 0.5000) x2
Pd (0.5000, 0.5000, 0.5000) x1

Record 5
Computed, not measured: a geometry-optimized Rb2ZnInPd structure at the PBE level of DFT.

Output
D(E_F)   3.19 states/eV per cell
Crystal system   tetragonal
E_tot   -2.00 eV per atom

a b c (Å): 6.5836 6.5836 4.7811
angles (deg): 90.00 90.00 90.00
Space group P4/mmm (No. 123)
One atom of each set of equivalent atoms:
Rb (0.0000, 0.5000, 0.0000) x2
Zn (0.0000, 0.0000, 0.0000) x1
In (0.5000, 0.5000, 0.5000) x1
Pd (0.0000, 0.0000, 0.5000) x1

Record 6
Computed, not measured: a geometry-optimized InRePd3 structure at the PBE level of DFT.

Output
D(E_F)   4.82 states/eV per cell
Crystal system   cubic
E_tot   -5.16 eV per atom

a b c (Å): 4.8513 4.8513 4.8513
angles (deg): 90.00 90.00 90.00
Space group Pm-3m (No. 221)
One atom of each set of equivalent atoms:
In (0.0000, 0.0000, 0.0000) x1
Re (0.5000, 0.5000, 0.5000) x1
Pd (0.0000, 0.5000, 0.5000) x3

Record 7
Computed, not measured: a geometry-optimized InRePd3 structure at the PBE level of DFT.

Output
D(E_F)   3.97 states/eV per cell
Crystal system   cubic
E_tot   -4.66 eV per atom

a b c (Å): 4.8726 4.8726 4.8726
angles (deg): 90.00 90.00 90.00
Space group Pm-3m (No. 221)
One atom of each set of equivalent atoms:
In (0.0000, 0.0000, 0.0000) x1
Re (0.5000, 0.5000, 0.5000) x1
Pd (0.0000, 0.0000, 0.5000) x3

Record 8
Computed, not measured: a geometry-optimized InRe3Pd structure at the PBE level of DFT.

Output
D(E_F)   9.85 states/eV per cell
Crystal system   cubic
E_tot   -6.63 eV per atom

a b c (Å): 4.7284 4.7284 4.7284
angles (deg): 90.00 90.00 90.00
Space group Pm-3m (No. 221)
One atom of each set of equivalent atoms:
In (0.0000, 0.0000, 0.0000) x1
Re (0.0000, 0.5000, 0.5000) x3
Pd (0.5000, 0.5000, 0.5000) x1